(1)
This record from Alexandria via LeMat-Bulk describes a geometry-optimized BRhSCl2 structure. The functional is PBE.

Space group: No. 123
DFT total energy in eV/atom: -3.52
Excess energy over the best structure of this formula in the dataset in meV/atom: 2
Size of the total moment in μB per formula unit: 1.77
Volume in Å³ per cell: 79
Formation energy (no corrections) in meV/atom: 846
DOS(E_F) in states/eV/f.u.: 4.934

```
5
Lattice="4.1340 0.0000 0.0000 0.0000 4.1340 0.0000 0.0000 0.0000 4.6142" Properties=species:S:1:pos:R:3 pbc="T T T"
B 0.0000 0.0000 0.0000
Rh 2.0670 2.0670 2.3071
S 0.0000 0.0000 2.3071
Cl 0.0000 2.0670 0.0000
Cl 2.0670 0.0000 0.0000
```


(2)
This record from Alexandria via LeMat-Bulk describes a geometry-optimized HfNiB structure. The functional is PBE.

Space group: No. 12
DFT total energy in eV/atom: -7.86
Size of the total moment in μB per formula unit: 0.00
Volume in Å³ per cell: 80
Formation enthalpy at 0 K in meV per atom: -386
DOS(E_F) in states/eV/f.u.: 1.966

```
6
Lattice="4.0238 -1.6916 0.0000 4.0238 1.6916 0.0000 -1.2585 0.0000 5.8795" Properties=species:S:1:pos:R:3 pbc="T T T"
Hf 0.4742 0.0000 1.7104
Hf 6.3149 0.0000 4.1691
Ni 2.8276 0.0000 0.3920
Ni 3.9615 0.0000 5.4874
B 2.7829 0.0000 2.4117
B 4.0062 0.0000 3.4677
```


Q: What is the formula in the first record?
A: BRhSCl2


Q: Among the records above, which one has the lowest DFT total energy?
A: HfNiB